1.
VASP calculation (PBE) on a relaxed structure of Na2CuBAu.

Output
total moment = 0.62 Bohr magnetons per cell
formation energy = 1.1104 eV per atom
SG = P4/mmm, No. 123

Cell lengths 5.1684, 5.1684, 4.7877 Å; angles 90.00, 90.00, 90.00 degrees
Last column: nearest neighbours and their distance in Å.
Fractional positions:
1 Na 0.0000 0.5000 0.0000  2 Cu 2.58
2 Na 0.5000 0.0000 0.0000  2 Cu 2.58
3 Cu 0.0000 0.0000 0.0000  2 Au 2.39, 4 Na 2.58
4 B 0.5000 0.5000 0.5000  8 Na 3.52, 4 Au 3.65
5 Au 0.0000 0.0000 0.5000  2 Cu 2.39


2.
VASP calculation (PBE) on a relaxed structure of TaTlPb2.

Output
total moment = 0.00 Bohr magnetons per cell
excess energy over the best structure of this formula in the dataset = 0.3044 eV per atom
formation energy = 0.6290 eV per atom
SG = P4/mmm, No. 123

Cell lengths 5.6007, 5.6007, 3.2341 Å; angles 90.00, 90.00, 90.00 degrees
Last column: nearest neighbours and their distance in Å.
Fractional positions:
1 Ta 0.0000 0.0000 0.0000  8 Pb 3.23, 2 Ta 3.23
2 Tl 0.5000 0.5000 0.0000  8 Pb 3.23, 2 Tl 3.23
3 Pb 0.0000 0.5000 0.5000  4 Ta 3.23, 4 Tl 3.23, 2 Pb 3.23
4 Pb 0.5000 0.0000 0.5000  4 Ta 3.23, 4 Tl 3.23, 2 Pb 3.23


3.
VASP calculation (PBE) on a relaxed structure of LiRuRh.

Output
total moment = 0.00 Bohr magnetons per cell
excess energy over the best structure of this formula in the dataset = 0.0912 eV per atom
formation energy = 0.1186 eV per atom
SG = I4mm, No. 107

Cell lengths 5.5236, 5.5236, 5.5236 Å; angles 150.91, 150.91, 41.61 degrees
Last column: nearest neighbours and their distance in Å.
Fractional positions:
1 Li 0.0000 0.0000 0.0000  4 Rh 2.58, 4 Ru 2.63, 4 Li 2.77
2 Ru 0.3297 0.3297 0.0000  4 Rh 2.61, 4 Li 2.63, 4 Ru 2.77
3 Rh 0.6625 0.6625 0.0000  4 Li 2.58, 4 Ru 2.61, 4 Rh 2.77


4.
VASP calculation (PBE) on a relaxed structure of TbNd4Ir4.

Output
total moment = 0.00 Bohr magnetons per cell
formation energy = -0.5392 eV per atom
SG = P4_2/n, No. 86

Cell lengths 8.9911, 8.9911, 5.8372 Å; angles 90.00, 90.00, 90.00 degrees
Last column: nearest neighbours and their distance in Å.
Fractional positions:
1 Tb 0.2500 0.2500 0.2500  4 Ir 2.78
2 Tb 0.7500 0.7500 0.7500  4 Ir 2.78
3 Nd 0.0657 0.6691 0.1286  5 Ir 2.85-3.10
4 Nd 0.1691 0.9343 0.6286  5 Ir 2.85-3.10
5 Nd 0.3309 0.5657 0.6286  5 Ir 2.85-3.10
6 Nd 0.4343 0.8309 0.1286  5 Ir 2.85-3.10
7 Nd 0.5657 0.1691 0.8714  5 Ir 2.85-3.10
8 Nd 0.6691 0.4343 0.3714  5 Ir 2.85-3.10
9 Nd 0.8309 0.0657 0.3714  5 Ir 2.85-3.10
10 Nd 0.9343 0.3309 0.8714  5 Ir 2.85-3.10
11 Ir 0.0193 0.6234 0.6237  1 Ir 2.67, 1 Tb 2.78, 2 Nd 2.85-2.95
12 Ir 0.1234 0.9807 0.1237  1 Ir 2.67, 1 Tb 2.78, 2 Nd 2.85-2.95
13 Ir 0.3766 0.5193 0.1237  1 Ir 2.67, 1 Tb 2.78, 2 Nd 2.85-2.95
14 Ir 0.4807 0.8766 0.6237  1 Ir 2.67, 1 Tb 2.78, 2 Nd 2.85-2.95
15 Ir 0.5193 0.1234 0.3763  1 Ir 2.67, 1 Tb 2.78, 2 Nd 2.85-2.95
16 Ir 0.6234 0.4807 0.8763  1 Ir 2.67, 1 Tb 2.78, 2 Nd 2.85-2.95
17 Ir 0.8766 0.0193 0.8763  1 Ir 2.67, 1 Tb 2.78, 2 Nd 2.85-2.95
18 Ir 0.9807 0.3766 0.3763  1 Ir 2.67, 1 Tb 2.78, 2 Nd 2.85-2.95


Repeat the third record exactly.
VASP calculation (PBE) on a relaxed structure of LiRuRh.

Output
total moment = 0.00 Bohr magnetons per cell
excess energy over the best structure of this formula in the dataset = 0.0912 eV per atom
formation energy = 0.1186 eV per atom
SG = I4mm, No. 107

Cell lengths 5.5236, 5.5236, 5.5236 Å; angles 150.91, 150.91, 41.61 degrees
Last column: nearest neighbours and their distance in Å.
Fractional positions:
1 Li 0.0000 0.0000 0.0000  4 Rh 2.58, 4 Ru 2.63, 4 Li 2.77
2 Ru 0.3297 0.3297 0.0000  4 Rh 2.61, 4 Li 2.63, 4 Ru 2.77
3 Rh 0.6625 0.6625 0.0000  4 Li 2.58, 4 Ru 2.61, 4 Rh 2.77